[1]
# CdCo2Ag | Alexandria via LeMat-Bulk | PBE | relaxed
data_CdCo2Ag
_chemical_formula_sum 'Cd2 Co4 Ag2'
_cell_length_a 3.959
_cell_length_b 3.959
_cell_length_c 7.638
_cell_angle_alpha 90.00
_cell_angle_beta 90.00
_cell_angle_gamma 90.00
_symmetry_space_group_name_H-M 'I -4 m 2'
_symmetry_Int_Tables_number 119
_symmetry_space_group_name_Hall 'I -4 -2'
loop_
_atom_site_label
_atom_site_type_symbol
_atom_site_fract_x
_atom_site_fract_y
_atom_site_fract_z
Cd1 Cd 0.000 0.000 0.000
Co1 Co 0.000 0.000 0.500
Co2 Co 0.000 0.500 0.750
Ag1 Ag 0.000 0.500 0.250
# **Final energy**: -4.10 eV per atom
# **Total magnetization**: 6.44 Bohr magnetons per cell
# **Calculated formation energy**: 0.397 eV per atom



[2]
# CdBiRh3 | Alexandria via LeMat-Bulk | PBE | relaxed
data_CdBiRh3
_chemical_formula_sum 'Cd1 Bi1 Rh3'
_cell_length_a 4.955
_cell_length_b 4.955
_cell_length_c 4.955
_cell_angle_alpha 90.00
_cell_angle_beta 90.00
_cell_angle_gamma 90.00
_symmetry_space_group_name_H-M 'P m -3 m'
_symmetry_Int_Tables_number 221
_symmetry_space_group_name_Hall '-P 4 2 3'
loop_
_atom_site_label
_atom_site_type_symbol
_atom_site_fract_x
_atom_site_fract_y
_atom_site_fract_z
Cd1 Cd 0.000 0.000 0.000
Bi1 Bi 0.500 0.500 0.500
Rh1 Rh 0.000 0.500 0.500
# **Final energy**: -4.36 eV per atom
# **Total magnetization**: 0.00 Bohr magnetons per cell
# **Calculated formation energy**: 1.006 eV per atom



[3]
# AgP2 | Alexandria via LeMat-Bulk | PBE | relaxed
data_AgP2
_chemical_formula_sum 'Ag4 P8'
_cell_length_a 5.0006
_cell_length_b 5.0006
_cell_length_c 10.7564
_cell_angle_alpha 90.00
_cell_angle_beta 90.00
_cell_angle_gamma 120.00
_symmetry_space_group_name_H-M 'P 63/m m c'
_symmetry_Int_Tables_number 194
_symmetry_space_group_name_Hall '-P 6c 2c'
loop_
_atom_site_label
_atom_site_type_symbol
_atom_site_fract_x
_atom_site_fract_y
_atom_site_fract_z
Ag1 Ag 0.3333 0.6667 0.0463
P1 P 0.0000 0.0000 0.0000
P2 P 0.1447 0.2893 0.2500
# **Final energy**: -4.11 eV per atom
# **Total magnetization**: 0.00 Bohr magnetons per cell
# **Calculated formation energy**: 0.446 eV per atom



[4]
# MnTl3Rh2Se6 | Alexandria via LeMat-Bulk | PBE | relaxed
data_MnTl3Rh2Se6
_chemical_formula_sum 'Mn2 Tl6 Rh4 Se12'
_cell_length_a 6.641
_cell_length_b 11.500
_cell_length_c 7.681
_cell_angle_alpha 90.00
_cell_angle_beta 106.66
_cell_angle_gamma 90.00
_symmetry_space_group_name_H-M 'C 1 2/m 1'
_symmetry_Int_Tables_number 12
loop_
_symmetry_equiv_pos_as_xyz
'x,y,z'
'-x,-y,-z'
'-x,y,-z'
'x,-y,z'
'x+1/2,y+1/2,z'
'-x+1/2,-y+1/2,-z'
'-x+1/2,y+1/2,-z'
'x+1/2,-y+1/2,z'
loop_
_atom_site_label
_atom_site_type_symbol
_atom_site_fract_x
_atom_site_fract_y
_atom_site_fract_z
Mn1 Mn 0.000 0.000 0.000
Tl1 Tl 0.000 0.165 0.500
Tl2 Tl 0.000 0.500 0.500
Rh1 Rh 0.000 0.333 0.000
Se1 Se 0.220 0.500 0.173
Se2 Se 0.227 0.169 0.176
# **Final energy**: -4.71 eV per atom
# **Total magnetization**: 8.14 Bohr magnetons per cell



[5]
# Cs2TlSe | Alexandria via LeMat-Bulk | PBE | relaxed
data_Cs2TlSe
_chemical_formula_sum 'Cs8 Tl4 Se4'
_cell_length_a 7.941
_cell_length_b 7.973
_cell_length_c 12.969
_cell_angle_alpha 90.00
_cell_angle_beta 120.05
_cell_angle_gamma 90.00
_symmetry_space_group_name_H-M 'P 1 21/c 1'
_symmetry_Int_Tables_number 14
loop_
_symmetry_equiv_pos_as_xyz
'x,y,z'
'-x,-y,-z'
'-x,y+1/2,-z+1/2'
'x,-y+1/2,z+1/2'
loop_
_atom_site_label
_atom_site_type_symbol
_atom_site_fract_x
_atom_site_fract_y
_atom_site_fract_z
Cs1 Cs 0.167 0.228 0.047
Cs2 Cs 0.257 0.616 0.845
Tl1 Tl 0.364 0.095 0.850
Se1 Se 0.361 0.640 0.156
# **Final energy**: -2.52 eV per atom
# **Total magnetization**: 0.00 Bohr magnetons per cell